A) VASP calculation (PBE with a Hubbard U) on a geometry-optimized MnBOF2 structure.

- Space-group type: P4/mmm, No. 123

a b c (Å): 4.3993 4.3993 2.6656
angles (deg): 90.00 90.00 90.00
With the nearest neighbours (Å) after each atom.
Fractional coordinates of all 5 atoms:
O (0.0000, 0.0000, 0.5000)  2 B 1.33
F (0.5000, 0.0000, 0.0000)  2 B 2.20
F (0.0000, 0.5000, 0.0000)  2 B 2.20
Mn (0.5000, 0.5000, 0.5000)  8 F 2.57, 2 Mn 2.67
B (0.0000, 0.0000, 0.0000)  2 O 1.33

---

B) VASP calculation (PBE with a Hubbard U) on a geometry-optimized MnBOF2 structure.

- Space-group type: P4/mmm, No. 123

a b c (Å): 4.0341 4.0341 3.8004
angles (deg): 90.00 90.00 90.00
With the nearest neighbours (Å) after each atom.
Fractional coordinates of all 5 atoms:
F (0.0000, 0.5000, 0.0000)  2 Mn 2.02
F (0.5000, 0.0000, 0.0000)  2 Mn 2.02
B (0.5000, 0.5000, 0.5000)  8 F 2.77, 4 O 2.85
O (0.0000, 0.0000, 0.5000)  2 Mn 1.90
Mn (0.0000, 0.0000, 0.0000)  2 O 1.90, 4 F 2.02

---

Quick one: least stable of them? B)